VASP calculation (PBE) on crystalline SiSb2Mo at its relaxed geometry.

a b c (Å): 3.310 3.344 8.045
angles (deg): 65.26 90.00 90.00
Positions (direct):
Sb (0.000, 0.474, 0.527)
Sb (0.000, 0.026, 0.973)
Mo (0.500, 0.750, 0.750)
Si (0.500, 0.250, 0.250)

Properties
space group: P2/m (10)
formation energy (no corrections): 372 meV/atom
total magnetic moment: 0.00 μB/f.u.